[1]
# ZrTaBeRh2

A crystal of ZrTaBeRh2 relaxed with PBEsol (meta-GGA SCAN, Alexandria via LeMat-Bulk).

Lattice parameters (Å, degrees): 4.3855 4.6243 4.6243 90.00 90.00 90.00
Closest atoms and distances in Å follow each position.
Sites, in units of the cell vectors:
Be 0.5000 0.0000 0.0000  2 Ta 2.19
Rh 0.0000 0.0000 0.5000  2 Ta 2.31
Rh 0.0000 0.5000 0.0000  2 Ta 2.31
Zr 0.5000 0.5000 0.5000  8 Rh 3.19, 4 Be 3.27
Ta 0.0000 0.0000 0.0000  2 Be 2.19, 4 Rh 2.31

Values from the calculation:
The formation energy comes out at 667 meV per atom. The value obtained for the total DFT energy (no corrections) is -165.85 eV/cell.

=====

[2]
# SbTe2As

A crystal of SbTe2As relaxed with PBEsol (meta-GGA SCAN, Alexandria via LeMat-Bulk).

Lattice parameters (Å, degrees): 5.2483 5.2483 5.2483 109.63 109.63 109.15
Closest atoms and distances in Å follow each position.
Sites, in units of the cell vectors:
Sb 0.0000 0.0000 0.0000  4 Te 3.02, 2 As 3.04
As 0.5000 0.5000 0.0000  4 Te 3.02, 2 Sb 3.04
Te 0.5000 0.0000 0.5000  2 As 3.02, 2 Sb 3.02, 2 Te 3.04
Te 0.0000 0.5000 0.5000  2 Sb 3.02, 2 As 3.02, 2 Te 3.04

Values from the calculation:
The value obtained for the total DFT energy (no corrections) is -131.64 eV/cell. The raw formation energy comes out at 7.5 kJ/mol of atoms.

=====

[3]
# Fe2TeCl

A crystal of Fe2TeCl relaxed with PBEsol (meta-GGA SCAN, Alexandria via LeMat-Bulk).

Lattice parameters (Å, degrees): 3.2309 3.2309 6.9120 90.00 90.00 90.00
Closest atoms and distances in Å follow each position.
Sites, in units of the cell vectors:
Te 0.0000 0.0000 0.4074  5 Fe 2.51-2.72
Fe 0.0000 0.0000 0.0443  4 Fe 2.51, 1 Te 2.51, 4 Cl 2.63
Fe 0.5000 0.5000 0.1937  1 Cl 2.34, 4 Fe 2.51
Cl 0.5000 0.5000 0.8546  1 Fe 2.34

Values from the calculation:
The value obtained for the total DFT energy (no corrections) is -81.95 eV/cell. The raw formation energy comes out at -11.2 kJ/mol of atoms.

=====

[4]
# Gd2AgRh

A crystal of Gd2AgRh relaxed with PBEsol (meta-GGA SCAN, Alexandria via LeMat-Bulk).

Lattice parameters (Å, degrees): 4.9408 4.9408 4.9408 60.00 60.00 60.00
Closest atoms and distances in Å follow each position.
Sites, in units of the cell vectors:
Gd 0.2500 0.2500 0.2500  4 Rh 3.03, 4 Ag 3.03
Gd 0.7500 0.7500 0.7500  4 Ag 3.03, 4 Rh 3.03
Ag 0.5000 0.5000 0.5000  8 Gd 3.03
Rh 0.0000 0.0000 0.0000  8 Gd 3.03

Values from the calculation:
The formation energy comes out at -546 meV per atom. The value obtained for the total DFT energy (no corrections) is -184.95 eV/cell.

=====

[5]
# Li2YC2

A crystal of Li2YC2 relaxed with PBEsol (meta-GGA SCAN, Alexandria via LeMat-Bulk).

Lattice parameters (Å, degrees): 3.4693 3.4693 5.1520 109.68 109.68 90.00
Closest atoms and distances in Å follow each position.
Sites, in units of the cell vectors:
Y 0.0000 0.0000 0.0000  8 C 2.56, 8 Li 2.85
C 0.4175 0.4175 0.8351  1 C 1.49
C 0.5825 0.5825 0.1649  1 C 1.49
Li 0.2500 0.7500 0.5000  4 C 2.31, 4 Li 2.45
Li 0.7500 0.2500 0.5000  4 C 2.31, 4 Li 2.45

Values from the calculation:
The formation energy comes out at -45 meV per atom. The value obtained for the total DFT energy (no corrections) is -53.05 eV/cell.

=====

[6]
# KSBr2

A crystal of KSBr2 relaxed with PBEsol (meta-GGA SCAN, Alexandria via LeMat-Bulk).

Lattice parameters (Å, degrees): 5.3169 5.3169 7.8768 70.28 70.28 60.00
Closest atoms and distances in Å follow each position.
Sites, in units of the cell vectors:
K 0.5000 0.5000 0.5000  6 Br 3.30
S 0.0000 0.0000 0.0000  2 Br 2.42
Br 0.8889 0.8889 0.3334  1 S 2.42
Br 0.1111 0.1111 0.6666  1 S 2.42

Values from the calculation:
The value obtained for the total DFT energy (no corrections) is -59.03 eV/cell. The raw formation energy comes out at -52.0 kJ/mol of atoms.

=====

[7]
# Zr2SbMo

A crystal of Zr2SbMo relaxed with PBEsol (meta-GGA SCAN, Alexandria via LeMat-Bulk).

Lattice parameters (Å, degrees): 3.5630 3.5630 6.2045 90.00 90.00 90.00
Closest atoms and distances in Å follow each position.
Sites, in units of the cell vectors:
Mo 0.0000 0.0000 0.5129  4 Sb 2.88, 5 Zr 2.95-2.96
Sb 0.5000 0.5000 0.7381  4 Mo 2.88, 5 Zr 2.96
Zr 0.0000 0.0000 0.9880  2 Mo 2.95-3.26, 4 Sb 2.96, 4 Zr 3.04
Zr 0.5000 0.5000 0.2610  2 Sb 2.96-3.24, 4 Mo 2.96, 4 Zr 3.04

Values from the calculation:
The value obtained for the total DFT energy (no corrections) is -134.35 eV/cell. The raw formation energy comes out at -19.5 kJ/mol of atoms.

=====

[8]
# BaSiW2

A crystal of BaSiW2 relaxed with PBEsol (meta-GGA SCAN, Alexandria via LeMat-Bulk).

Lattice parameters (Å, degrees): 3.2405 4.7843 6.0464 97.69 90.00 109.80
Closest atoms and distances in Å follow each position.
Sites, in units of the cell vectors:
Ba 0.0000 0.0000 0.5000  6 W 3.17-3.45, 2 Ba 3.24, 4 Si 3.43
Si 0.5000 0.0000 0.0000  6 W 2.65-2.73
W 0.7739 0.5479 0.8577  2 W 2.45, 3 Si 2.65-2.73
W 0.2261 0.4521 0.1423  2 W 2.45, 3 Si 2.65-2.73

Values from the calculation:
The value obtained for the total DFT energy (no corrections) is -185.79 eV/cell. The raw formation energy comes out at 76.1 kJ/mol of atoms.

=====

| no. | total magnetization (μB per formula unit) |
| --- | --- |
| 1 | 0.0 |
| 2 | 0.0 |
| 3 | 5.6 |
| 4 | 14.7 |
| 5 | 0.0 |
| 6 | 1.0 |
| 7 | 0.0 |
| 8 | 0.0 |